GGA-PBE NbRhAu, optimized geometry; E above lowest polymorph = 0.55 eV per formula unit; size of the total moment = 0.000 Bohr magnetons per cell; DFT formation energy = -12 kJ/mol of atoms; space group = R3m (160)
1.0
1.448 0.836 6.947
-1.448 0.836 6.947
0.000 -1.672 6.947
Nb Rh Au
1 1 1
direct
0.000 0.000 0.000
0.769 0.769 0.769
0.552 0.552 0.552

GGA-PBE Sr2MoS2, optimized geometry; E above lowest polymorph = 0.00 eV per formula unit; energy relative to the elements, uncorrected = -747 meV per atom; size of the total moment = 3.799 Bohr magnetons per cell; space group = P4/mbm (127)
1.0
7.264 0.000 0.000
0.000 7.264 0.000
0.000 0.000 4.260
Sr Mo S
4 2 4
direct
0.156 0.344 0.000
0.344 0.844 0.000
0.656 0.156 0.000
0.844 0.656 0.000
0.000 0.000 0.500
0.500 0.500 0.500
0.165 0.665 0.500
0.335 0.165 0.500
0.665 0.835 0.500
0.835 0.335 0.500

GGA-PBE Fe2NiGeC, optimized geometry; size of the total moment = 1.132 Bohr magnetons per cell; DFT formation energy = 7 kJ/mol of atoms; space group = P4/mmm (123)
1.0
3.760 0.000 0.000
0.000 3.760 0.000
0.000 0.000 3.761
Fe Ni Ge C
2 1 1 1
direct
0.000 0.500 0.000
0.500 0.000 0.000
0.000 0.000 0.500
0.500 0.500 0.500
0.000 0.000 0.000

GGA-PBE Sr3MgPt, optimized geometry; E above lowest polymorph = 0.00 eV per formula unit; size of the total moment = 0.000 Bohr magnetons per cell; DFT formation energy = -36 kJ/mol of atoms; space group = Pm-3m (221)
1.0
5.909 0.000 0.000
0.000 5.909 0.000
0.000 0.000 5.909
Sr Mg Pt
3 1 1
direct
0.000 0.000 0.500
0.000 0.500 0.000
0.500 0.000 0.000
0.500 0.500 0.500
0.000 0.000 0.000

GGA-PBE ZnIrW2, optimized geometry; size of the total moment = 0.000 Bohr magnetons per cell; DFT formation energy = 13 kJ/mol of atoms; space group = P4mm (99)
1.0
3.230 0.000 0.000
0.000 3.230 0.000
0.000 0.000 5.863
Zn Ir W
1 1 2
direct
0.000 0.000 0.000
0.500 0.500 0.230
0.000 0.000 0.504
0.500 0.500 0.746

GGA-PBE RhW2Se, optimized geometry; energy relative to the elements, uncorrected = 284 meV per atom; size of the total moment = 0.000 Bohr magnetons per cell; space group = Pm (6)
1.0
2.861 0.000 0.000
0.000 4.099 0.000
-1.137 0.000 5.465
Rh W Se
1 2 1
direct
0.000 0.000 0.000
0.402 0.500 0.736
0.708 0.000 0.487
0.549 0.500 0.187

GGA-PBE Er6PuTe8, optimized geometry; energy relative to the elements, uncorrected = -1268 meV per atom; size of the total moment = 6.238 Bohr magnetons per cell; space group = Fm-3m (225)
1.0
0.000 6.099 6.099
6.099 0.000 6.099
6.099 6.099 0.000
Er Pu Te
6 1 8
direct
0.000 0.000 0.500
0.000 0.500 0.000
0.000 0.500 0.500
0.500 0.000 0.000
0.500 0.000 0.500
0.500 0.500 0.000
0.000 0.000 0.000
0.250 0.250 0.250
0.260 0.260 0.740
0.260 0.740 0.260
0.260 0.740 0.740
0.740 0.260 0.260
0.740 0.260 0.740
0.740 0.740 0.260
0.750 0.750 0.750

GGA-PBE Sm6Dy2YMg, optimized geometry; size of the total moment = 0.000 Bohr magnetons per cell; DFT formation energy = 11 kJ/mol of atoms; space group = C2/c (15)
1.0
4.601 -7.652 0.000
4.601 7.652 0.000
-0.749 0.000 9.228
Sm Dy Y Mg
12 4 2 2
direct
0.002 0.432 0.799
0.136 0.778 0.553
0.222 0.864 0.947
0.280 0.501 0.394
0.432 0.002 0.299
0.499 0.720 0.106
0.501 0.280 0.894
0.568 0.998 0.701
0.720 0.499 0.606
0.778 0.136 0.053
0.864 0.222 0.447
0.998 0.568 0.201
0.208 0.319 0.049
0.319 0.208 0.549
0.681 0.792 0.451
0.792 0.681 0.951
0.024 0.976 0.250
0.976 0.024 0.750
0.419 0.581 0.750
0.581 0.419 0.250

GGA-PBE TbPmFeAg, optimized geometry; size of the total moment = 1.366 Bohr magnetons per cell; DFT formation energy = 3 kJ/mol of atoms; space group = F-43m (216)
1.0
0.000 3.575 3.575
3.575 0.000 3.575
3.575 3.575 0.000
Tb Pm Fe Ag
1 1 1 1
direct
0.000 0.000 0.000
0.500 0.500 0.500
0.750 0.750 0.750
0.250 0.250 0.250

GGA-PBE Sm6Si2SbSe3, optimized geometry; energy relative to the elements, uncorrected = -1384 meV per atom; size of the total moment = 0.000 Bohr magnetons per cell; space group = C2/m (12)
1.0
9.269 -2.125 0.000
9.269 2.125 0.000
-1.930 0.000 8.323
Sm Si Sb Se
6 2 1 3
direct
0.006 0.006 0.260
0.329 0.329 0.901
0.330 0.330 0.423
0.670 0.670 0.577
0.671 0.671 0.099
0.994 0.994 0.740
0.167 0.167 0.335
0.833 0.833 0.665
0.500 0.500 0.000
0.165 0.165 0.834
0.500 0.500 0.500
0.835 0.835 0.166

GGA-PBE ScPtPb2, optimized geometry; E above lowest polymorph = 1.11 eV per formula unit; size of the total moment = 0.000 Bohr magnetons per cell; DFT formation energy = -21 kJ/mol of atoms; space group = P2/m (10)
1.0
3.703 0.000 0.000
0.000 4.570 0.000
-0.786 0.000 5.591
Sc Pt Pb
1 1 2
direct
0.000 0.000 0.000
0.500 0.000 0.500
0.296 0.500 0.737
0.704 0.500 0.263

GGA-PBE AgGeSe2N, optimized geometry; E above lowest polymorph = 0.00 eV per formula unit; energy relative to the elements, uncorrected = 700 meV per atom; size of the total moment = 0.000 Bohr magnetons per cell; space group = P4/mmm (123)
1.0
5.339 0.000 0.000
0.000 5.339 0.000
0.000 0.000 3.461
Ag Ge Se N
1 1 2 1
direct
0.000 0.000 0.000
0.500 0.500 0.500
0.000 0.500 0.500
0.500 0.000 0.500
0.500 0.500 0.000

GGA-PBE AcTbNd3Sm, optimized geometry; size of the total moment = 0.000 Bohr magnetons per cell; DFT formation energy = 20 kJ/mol of atoms; space group = C2/m (12)
1.0
10.444 -2.949 0.000
10.444 2.949 0.000
-0.132 0.000 7.125
Ac Tb Nd Sm
2 2 6 2
direct
0.147 0.147 0.038
0.853 0.853 0.962
0.443 0.443 0.712
0.557 0.557 0.288
0.017 0.017 0.744
0.281 0.281 0.726
0.341 0.341 0.252
0.659 0.659 0.748
0.719 0.719 0.274
0.983 0.983 0.256
0.142 0.142 0.492
0.858 0.858 0.508